No. 1
Density functional theory data (PBE-GGA) for a relaxed ZrScNiSb crystal.

Results
**Final energy**: -98.42 eV/cell
**Crystal system**: cubic

Lattice parameters (Å, degrees): 6.770 6.770 6.770 90.00 90.00 90.00
Space group F-43m (No. 216)
Symmetry-distinct sites (fractional):
Zr: 0.000 0.000 0.000 [4 per cell]
Sc: 0.250 0.250 0.250 [4 per cell]
Ni: 0.250 0.250 0.750 [4 per cell]
Sb: 0.000 0.000 0.500 [4 per cell]

---

No. 2
Density functional theory data (PBE-GGA) for a relaxed Hf2NbPb2 crystal.

Results
**Crystal system**: tetragonal
**ΔE to the lowest computed polymorph**: 224 meV per atom

Lattice parameters (Å, degrees): 4.185 4.185 13.627 90.00 90.00 90.00
Space group I4/mmm (No. 139)
Symmetry-distinct sites (fractional):
Hf: 0.000 0.000 0.093 [4 per cell]
Nb: 0.000 0.000 0.500 [2 per cell]
Pb: 0.000 0.500 0.250 [4 per cell]

---

No. 3
Density functional theory data (PBE-GGA) for a relaxed Tm3MgIn3AgPt crystal.

Results
**Final energy**: -37.24 eV/cell
**Crystal system**: hexagonal

Lattice parameters (Å, degrees): 8.0147 8.0147 3.7337 90.00 90.00 120.00
Space group P-6 (No. 174)
Symmetry-distinct sites (fractional):
Tm: 0.0817 0.7093 0.0000 [3 per cell]
Mg: 0.0000 0.0000 0.5000 [1 per cell]
In: 0.3869 0.0710 0.5000 [3 per cell]
Ag: 0.6667 0.3333 0.0000 [1 per cell]
Pt: 0.3333 0.6667 0.5000 [1 per cell]